Here is crystalline CrSiRu2 at its relaxed geometry from the Alexandria database. Energies are from PBE.

Crystal system = tetragonal
DOS(E_F) = 4.30 states/eV per cell

CIF file:
```
data_CrSiRu2
_cell_length_a 2.8297
_cell_length_b 2.8297
_cell_length_c 6.4024
_cell_angle_alpha 90.00
_cell_angle_beta 90.00
_cell_angle_gamma 90.00
_space_group_name_H-M_alt 'P 4 m m'
_space_group_IT_number 99
loop_
_space_group_symop_operation_xyz
'x,y,z'
'-y,x,z'
'-x,-y,z'
'y,-x,z'
'-x,y,z'
'y,x,z'
'x,-y,z'
'-y,-x,z'
loop_
_atom_site_label
_atom_site_type_symbol
_atom_site_fract_x
_atom_site_fract_y
_atom_site_fract_z
Cr1 Cr 0.0000 0.0000 0.0000
Si1 Si 0.5000 0.5000 0.7727
Ru1 Ru 0.0000 0.0000 0.5477
Ru2 Ru 0.5000 0.5000 0.2490
```

=====

Here is crystalline CrSiRu2 at its relaxed geometry from the Alexandria database. Energies are from PBE.

Crystal system = tetragonal
DOS(E_F) = 2.68 states/eV per cell

CIF file:
```
data_CrSiRu2
_cell_length_a 2.9364
_cell_length_b 2.9364
_cell_length_c 6.0506
_cell_angle_alpha 90.00
_cell_angle_beta 90.00
_cell_angle_gamma 90.00
_space_group_name_H-M_alt 'P 4/m m m'
_space_group_IT_number 123
_space_group_name_Hall '-P 4 2'
loop_
_atom_site_label
_atom_site_type_symbol
_atom_site_fract_x
_atom_site_fract_y
_atom_site_fract_z
Cr1 Cr 0.0000 0.0000 0.0000
Si1 Si 0.0000 0.0000 0.5000
Ru1 Ru 0.5000 0.5000 0.2654
```

=====

Here is crystalline CrSi2Ru3 at its relaxed geometry from the Alexandria database. Energies are from PBE.

Crystal system = tetragonal
DOS(E_F) = 2.64 states/eV per cell

CIF file:
```
data_CrSi2Ru3
_cell_length_a 2.9251
_cell_length_b 2.9251
_cell_length_c 9.0531
_cell_angle_alpha 90.00
_cell_angle_beta 90.00
_cell_angle_gamma 90.00
_space_group_name_H-M_alt 'P 4/m m m'
_space_group_IT_number 123
_space_group_name_Hall '-P 4 2'
loop_
_atom_site_label
_atom_site_type_symbol
_atom_site_fract_x
_atom_site_fract_y
_atom_site_fract_z
Cr1 Cr 0.0000 0.0000 0.0000
Si1 Si 0.0000 0.0000 0.3352
Ru1 Ru 0.5000 0.5000 0.1799
Ru2 Ru 0.5000 0.5000 0.5000
```

=====

| no. | uncorrected energy (eV/atom) |
| --- | --- |
| 1 | -8.569 |
| 2 | -8.718 |
| 3 | -8.472 |